Entry from the Alexandria database: crystalline K3Zn5Br12 at its relaxed geometry (PBE-GGA).

Results
As for the crystal system: cubic. The uncorrected formation energy comes out at -1.041 eV/atom.

a b c (Å): 14.855 14.855 14.855
angles (deg): 109.47 109.47 109.47
Fractional positions:
K  0.750  0.375  0.125
K  0.875  0.750  0.125
K  0.375  0.750  0.625
K  0.250  0.125  0.375
K  0.875  0.125  0.250
K  0.375  0.625  0.250
K  0.625  0.375  0.750
K  0.125  0.875  0.750
K  0.750  0.875  0.625
K  0.625  0.250  0.375
K  0.125  0.250  0.875
K  0.250  0.625  0.875
Zn  0.125  0.375  0.250
Zn  0.000  0.500  0.000
Zn  0.000  0.000  0.000
Zn  0.375  0.250  0.125
Zn  0.500  0.000  0.500
Zn  0.500  0.500  0.000
Zn  0.125  0.750  0.375
Zn  0.750  0.125  0.875
Zn  0.750  0.625  0.375
Zn  0.375  0.125  0.750
Zn  0.625  0.875  0.250
Zn  0.500  0.500  0.500
Zn  0.500  0.000  0.000
Zn  0.000  0.000  0.500
Zn  0.250  0.375  0.625
Zn  0.250  0.875  0.125
Zn  0.000  0.500  0.500
Zn  0.875  0.250  0.625
Zn  0.625  0.750  0.875
Zn  0.875  0.625  0.750
Br  0.698  0.112  0.014
Br  0.317  0.514  0.402
Br  0.986  0.388  0.302
Br  0.514  0.198  0.112
Br  0.585  0.698  0.683
Br  0.986  0.598  0.183
Br  0.317  0.802  0.415
Br  0.098  0.915  0.112
Br  0.598  0.986  0.683
Br  0.698  0.585  0.183
Br  0.802  0.486  0.388
Br  0.817  0.902  0.014
Br  0.112  0.698  0.514
Br  0.388  0.402  0.085
Br  0.085  0.902  0.388
Br  0.415  0.112  0.598
Br  0.085  0.183  0.198
Br  0.486  0.683  0.098
Br  0.817  0.915  0.302
Br  0.112  0.415  0.098
Br  0.388  0.986  0.802
Br  0.598  0.612  0.415
Br  0.902  0.817  0.514
Br  0.802  0.317  0.915
Br  0.402  0.388  0.585
Br  0.098  0.183  0.486
Br  0.198  0.683  0.085
Br  0.183  0.085  0.698
Br  0.612  0.014  0.198
Br  0.888  0.585  0.902
Br  0.514  0.317  0.902
Br  0.585  0.888  0.402
Br  0.915  0.817  0.802
Br  0.915  0.098  0.612
Br  0.888  0.302  0.486
Br  0.183  0.098  0.986
Br  0.612  0.598  0.915
Br  0.402  0.014  0.317
Br  0.302  0.415  0.817
Br  0.198  0.514  0.612
Br  0.902  0.085  0.888
Br  0.683  0.198  0.585
Br  0.486  0.802  0.888
Br  0.014  0.402  0.817
Br  0.415  0.302  0.317
Br  0.014  0.612  0.698
Br  0.683  0.486  0.598
Br  0.302  0.888  0.986


Entry from the Alexandria database: crystalline CrRe5Os2 at its relaxed geometry (PBE-GGA).

Results
As for the crystal system: triclinic. The value obtained for the formation energy is -7 meV per atom.

a b c (Å): 4.762 5.201 6.493
angles (deg): 125.23 111.38 62.93
Fractional positions:
Cr  0.169  0.155  0.161
Re  0.667  0.406  0.405
Re  0.086  0.284  0.789
Re  0.088  0.780  0.282
Re  0.168  0.657  0.660
Re  0.663  0.920  0.911
Os  0.581  0.540  0.036
Os  0.579  0.034  0.532


Entry from the Alexandria database: crystalline Np6Sn at its relaxed geometry (PBE-GGA).

Results
As for the crystal system: cubic. The value obtained for the formation energy is 510 meV per atom.

a b c (Å): 5.922 5.922 5.922
angles (deg): 109.47 109.47 109.47
Fractional positions:
Np  0.250  0.750  0.500
Np  0.500  0.750  0.250
Np  0.250  0.500  0.750
Np  0.750  0.250  0.500
Np  0.500  0.250  0.750
Np  0.750  0.500  0.250
Sn  0.000  0.000  0.000


Entry from the Alexandria database: crystalline SiTcRuC at its relaxed geometry (PBE-GGA).

Results
As for the crystal system: tetragonal. The uncorrected formation energy comes out at 0.064 eV/atom. The calculation puts the distance to the lowest polymorph of the same formula at 88 meV per atom.

a b c (Å): 2.899 2.899 5.889
angles (deg): 90.00 90.00 90.00
Fractional positions:
C  0.500  0.500  0.897
Ru  0.500  0.500  0.501
Si  0.000  0.000  0.267
Tc  0.000  0.000  0.839


Entry from the Alexandria database: crystalline AcPr2Pt at its relaxed geometry (PBE-GGA).

Results
As for the crystal system: tetragonal. The value obtained for the formation energy is -476 meV per atom. The calculation puts the distance to the lowest polymorph of the same formula at 131 meV per atom.

a b c (Å): 3.742 3.742 9.277
angles (deg): 90.00 90.00 90.00
Fractional positions:
Pr  0.000  0.000  0.820
Pr  0.000  0.000  0.180
Ac  0.500  0.500  0.500
Pt  0.500  0.500  0.000


Entry from the Alexandria database: crystalline KSn2Te2 at its relaxed geometry (PBE-GGA).

Results
As for the crystal system: tetragonal. The uncorrected formation energy comes out at -0.304 eV/atom. The calculation puts the distance to the lowest polymorph of the same formula at 107 meV per atom.

a b c (Å): 4.601 4.601 8.730
angles (deg): 74.72 74.72 90.00
Fractional positions:
K  0.000  0.000  0.000
Te  0.404  0.404  0.192
Te  0.596  0.596  0.808
Sn  0.750  0.250  0.500
Sn  0.250  0.750  0.500


Entry from the Alexandria database: crystalline YCd2W at its relaxed geometry (PBE-GGA).

Results
As for the crystal system: tetragonal. The value obtained for the formation energy is 380 meV per atom. The calculation puts the distance to the lowest polymorph of the same formula at 69 meV per atom.

a b c (Å): 2.974 2.974 9.382
angles (deg): 90.00 90.00 90.07
Each line ends with the local moment (μB).
Fractional positions:
Cd  0.000  0.000  0.019  0.00
Cd  0.000  0.000  0.481  0.00
W  0.500  0.500  0.250  0.00
Y  0.500  0.500  0.750  0.06


Entry from the Alexandria database: crystalline La2ZnF2 at its relaxed geometry (PBE-GGA).

Results
As for the crystal system: tetragonal. The uncorrected formation energy comes out at -2.246 eV/atom.

a b c (Å): 3.882 3.882 7.597
angles (deg): 75.19 75.19 90.00
Fractional positions:
Zn  0.000  0.000  0.000
F  0.750  0.250  0.500
F  0.250  0.750  0.500
La  0.368  0.368  0.265
La  0.632  0.632  0.735